Model A:
Ca4CdPt2: optimized geometry, PBE.

Properties
density	5.5	g/cm3
crystal system	trigonal
DOS(E_F)	2.79	states/eV per cell
space group	R-3m, No. 166
V	28.4	Å³ per atom

a = 10.229 Å, b = 10.229 Å, c = 10.229 Å
α = 27.31°, β = 27.31°, γ = 27.31°
Positions (direct):
Ca (0.109, 0.109, 0.109)
Ca (0.299, 0.299, 0.299)
Ca (0.701, 0.701, 0.701)
Ca (0.891, 0.891, 0.891)
Cd (0.500, 0.500, 0.500)
Pt (0.405, 0.405, 0.405)
Pt (0.595, 0.595, 0.595)

***

Model B:
Ca4CdPt2: optimized geometry, PBE.

Properties
density	6.0	g/cm3
crystal system	orthorhombic
DOS(E_F)	6.25	states/eV per cell
space group	Cmcm, No. 63
V	26.0	Å³ per atom

a = 5.178 Å, b = 5.178 Å, c = 15.690 Å
α = 90.00°, β = 90.00°, γ = 120.03°
Positions (direct):
Ca (0.000, 0.000, 0.000)
Ca (0.000, 0.000, 0.500)
Ca (0.333, 0.667, 0.619)
Ca (0.333, 0.667, 0.881)
Ca (0.334, 0.666, 0.250)
Ca (0.666, 0.334, 0.750)
Ca (0.667, 0.333, 0.119)
Ca (0.667, 0.333, 0.381)
Cd (0.001, 0.999, 0.250)
Cd (0.999, 0.001, 0.750)
Pt (0.334, 0.666, 0.065)
Pt (0.334, 0.666, 0.435)
Pt (0.666, 0.334, 0.565)
Pt (0.666, 0.334, 0.935)

***

What should be chosen as the least stable of them? Choose model B.

***

Model A:
Ca2Cd2Pt: optimized geometry, PBE.

Properties
density	5.9	g/cm3
crystal system	tetragonal
DOS(E_F)	2.79	states/eV per cell
space group	I4/mmm, No. 139
V	28.1	Å³ per atom

a = 5.782 Å, b = 5.782 Å, c = 5.782 Å
α = 117.90°, β = 117.90°, γ = 93.67°
Positions (direct):
Ca (0.250, 0.750, 0.500)
Ca (0.750, 0.250, 0.500)
Cd (0.166, 0.166, 0.000)
Cd (0.834, 0.834, 0.000)
Pt (0.500, 0.500, 0.000)

***

Model B:
Ca2Cd2Pt: optimized geometry, PBE.

Properties
density	6.5	g/cm3
crystal system	tetragonal
DOS(E_F)	5.48	states/eV per cell
space group	P4/mbm, No. 127
V	25.4	Å³ per atom

a = 7.358 Å, b = 7.358 Å, c = 4.690 Å
α = 90.00°, β = 90.00°, γ = 90.00°
Positions (direct):
Ca (0.179, 0.321, 0.000)
Ca (0.321, 0.821, 0.000)
Ca (0.679, 0.179, 0.000)
Ca (0.821, 0.679, 0.000)
Cd (0.136, 0.636, 0.500)
Cd (0.364, 0.136, 0.500)
Cd (0.636, 0.864, 0.500)
Cd (0.864, 0.364, 0.500)
Pt (0.000, 0.000, 0.500)
Pt (0.500, 0.500, 0.500)

***

What should be chosen as the least stable of them? Choose model A.

***

Model A:
SrCa2CdPt: optimized geometry, PBE.

Properties
density	4.4	g/cm3
crystal system	tetragonal
DOS(E_F)	2.93	states/eV per cell
space group	P4/mmm, No. 123
V	36.2	Å³ per atom

a = 5.552 Å, b = 5.552 Å, c = 5.878 Å
α = 90.00°, β = 90.00°, γ = 90.00°
Positions (direct):
Sr (0.000, 0.000, 0.000)
Ca (0.000, 0.500, 0.500)
Ca (0.500, 0.000, 0.500)
Cd (0.500, 0.500, 0.000)
Pt (0.000, 0.000, 0.500)

***

Model B:
SrCa2CdPt: optimized geometry, PBE.

Properties
density	4.7	g/cm3
crystal system	tetragonal
DOS(E_F)	4.98	states/eV per cell
space group	P4/mmm, No. 123
V	33.5	Å³ per atom

a = 5.542 Å, b = 5.542 Å, c = 5.461 Å
α = 90.00°, β = 90.00°, γ = 90.00°
Positions (direct):
Sr (0.000, 0.000, 0.000)
Ca (0.000, 0.500, 0.500)
Ca (0.500, 0.000, 0.500)
Cd (0.500, 0.500, 0.000)
Pt (0.500, 0.500, 0.500)

***

What should be chosen as the least stable of them? Choose model B.

***

Model A:
CaPuCd4: optimized geometry, PBE.

Properties
density	8.1	g/cm3
crystal system	orthorhombic
DOS(E_F)	11.00	states/eV per cell
space group	Pmmm, No. 47
V	25.0	Å³ per atom

a = 3.330 Å, b = 5.077 Å, c = 8.860 Å
α = 90.00°, β = 90.00°, γ = 90.00°
Positions (direct):
Ca (0.000, 0.000, 0.000)
Pu (0.000, 0.500, 0.500)
Cd (0.500, 0.000, 0.333)
Cd (0.500, 0.000, 0.667)
Cd (0.500, 0.500, 0.165)
Cd (0.500, 0.500, 0.835)

***

Model B:
CaPuCd4: optimized geometry, PBE.

Properties
density	8.0	g/cm3
crystal system	cubic
DOS(E_F)	13.78	states/eV per cell
space group	F-43m, No. 216
V	25.5	Å³ per atom

a = 6.003 Å, b = 6.003 Å, c = 6.003 Å
α = 60.00°, β = 60.00°, γ = 60.00°
Positions (direct):
Ca (0.000, 0.000, 0.000)
Pu (0.250, 0.250, 0.250)
Cd (0.125, 0.625, 0.625)
Cd (0.625, 0.125, 0.625)
Cd (0.625, 0.625, 0.125)
Cd (0.625, 0.625, 0.625)

***

What should be chosen as the least stable of them? Choose model B.